The following is a GGA-PBE calculation of K12TlAu6 after structural relaxation, from the Alexandria database.

```
data_K12TlAu6
_chemical_formula_sum 'K24 Tl2 Au12'
_space_group_name_H-M_alt 'I m -3'
_space_group_IT_number 204
_space_group_name_Hall '-I 2 2 3'
_cell_length_a 11.708
_cell_length_b 11.708
_cell_length_c 11.708
_cell_angle_alpha 90.00
_cell_angle_beta 90.00
_cell_angle_gamma 90.00
loop_
_atom_site_label
_atom_site_fract_x
_atom_site_fract_y
_atom_site_fract_z
K1 0.000 0.304 0.178
Tl1 0.000 0.000 0.000
Au1 0.000 0.122 0.500
```

Computed properties:
spin magnetization = 0.00 Bohr magnetons per cell
ΔE_f = -211 meV/atom



The following is a GGA-PBE calculation of KTlAu after structural relaxation, from the Alexandria database.

```
data_KTlAu
_chemical_formula_sum 'K4 Tl4 Au4'
_space_group_name_H-M_alt 'C 1 2/m 1'
_space_group_IT_number 12
_space_group_name_Hall '-C 2y'
_cell_length_a 11.942
_cell_length_b 4.875
_cell_length_c 8.152
_cell_angle_alpha 90.00
_cell_angle_beta 128.40
_cell_angle_gamma 90.00
loop_
_atom_site_label
_atom_site_fract_x
_atom_site_fract_y
_atom_site_fract_z
K1 0.074 0.000 0.325
Tl1 0.181 0.500 0.094
Au1 0.138 0.500 0.696
```

Computed properties:
spin magnetization = 0.00 Bohr magnetons per cell
ΔE_f = -239 meV/atom



The following is a GGA-PBE calculation of K3Tl3Au2 after structural relaxation, from the Alexandria database.

```
data_K3Tl3Au2
_chemical_formula_sum 'K12 Tl12 Au8'
_space_group_name_H-M_alt 'P n m a'
_space_group_IT_number 62
_space_group_name_Hall '-P 2ac 2n'
_cell_length_a 9.110
_cell_length_b 17.822
_cell_length_c 6.583
_cell_angle_alpha 90.00
_cell_angle_beta 90.00
_cell_angle_gamma 90.00
loop_
_atom_site_label
_atom_site_fract_x
_atom_site_fract_y
_atom_site_fract_z
K1 0.036 0.109 0.103
K2 0.182 0.250 0.631
Tl1 0.165 0.750 0.622
Tl2 0.183 0.036 0.606
Au1 0.106 0.613 0.398
```

Computed properties:
spin magnetization = 0.00 Bohr magnetons per cell
ΔE_f = -183 meV/atom
distance to the lowest polymorph of the same formula = 20.8 meV per atom



The following is a GGA-PBE calculation of KTl9Au2 after structural relaxation, from the Alexandria database.

```
data_KTl9Au2
_chemical_formula_sum 'K4 Tl36 Au8'
_space_group_name_H-M_alt 'I 41/a m d'
_space_group_IT_number 141
_cell_length_a 13.129
_cell_length_b 13.129
_cell_length_c 8.444
_cell_angle_alpha 90.00
_cell_angle_beta 90.00
_cell_angle_gamma 90.00
loop_
_space_group_symop_operation_xyz
'x,y,z'
'-x,-y,-z'
'-y+1/4,x+3/4,z+1/4'
'y+1/4,-x+3/4,-z+1/4'
'-x+1/2,-y,z+1/2'
'x+1/2,y,-z+1/2'
'y+1/4,-x+1/4,z+3/4'
'-y+1/4,x+1/4,-z+3/4'
'x,-y,-z'
'-x,y,z'
'-y+1/4,-x+1/4,-z+3/4'
'y+1/4,x+1/4,z+3/4'
'-x+1/2,y,-z+1/2'
'x+1/2,-y,z+1/2'
'y+1/4,x+3/4,-z+1/4'
'-y+1/4,-x+3/4,z+1/4'
'x+1/2,y+1/2,z+1/2'
'-x+1/2,-y+1/2,-z+1/2'
'-y+3/4,x+1/4,z+3/4'
'y+3/4,-x+1/4,-z+3/4'
'-x,-y+1/2,z'
'x,y+1/2,-z'
'y+3/4,-x+3/4,z+1/4'
'-y+3/4,x+3/4,-z+1/4'
'x+1/2,-y+1/2,-z+1/2'
'-x+1/2,y+1/2,z+1/2'
'-y+3/4,-x+3/4,-z+1/4'
'y+3/4,x+3/4,z+1/4'
'-x,y+1/2,-z'
'x,-y+1/2,z'
'y+3/4,x+1/4,-z+3/4'
'-y+3/4,-x+1/4,z+3/4'
loop_
_atom_site_label
_atom_site_fract_x
_atom_site_fract_y
_atom_site_fract_z
K1 0.000 0.250 0.375
Tl1 0.000 0.250 0.875
Tl2 0.123 0.064 0.670
Au1 0.000 0.000 0.000
```

Computed properties:
spin magnetization = 0.00 Bohr magnetons per cell
ΔE_f = -47 meV/atom



no.,E (eV/atom)
1,-2.06
2,-2.49
3,-2.30
4,-2.46